Entry a
Below is SmAg3 after structural relaxation, with properties calculated at the PBE-GGA level.

## Properties
- DOS at the Fermi energy: 0.549 states/eV per atom
- Space-group type: I4/mmm, No. 139

a = 5.102 Å, b = 5.102 Å, c = 5.102 Å
α = 124.62°, β = 124.62°, γ = 82.18°
Positions (direct):
Sm  0.000  0.000  0.000
Ag  0.250  0.750  0.500
Ag  0.500  0.500  0.000
Ag  0.750  0.250  0.500

=====

Entry b
Below is SmAg3 after structural relaxation, with properties calculated at the PBE-GGA level.

## Properties
- DOS at the Fermi energy: 0.601 states/eV per atom
- Space-group type: Cmcm, No. 63

a = 5.669 Å, b = 5.669 Å, c = 7.670 Å
α = 90.00°, β = 90.00°, γ = 134.41°
Positions (direct):
Sm  0.070  0.930  0.750
Sm  0.930  0.070  0.250
Ag  0.221  0.779  0.250
Ag  0.371  0.629  0.557
Ag  0.371  0.629  0.943
Ag  0.629  0.371  0.057
Ag  0.629  0.371  0.443
Ag  0.779  0.221  0.750

=====

Entry c
Below is SmAg3 after structural relaxation, with properties calculated at the PBE-GGA level.

## Properties
- DOS at the Fermi energy: 0.398 states/eV per atom
- Space-group type: Pmmn, No. 59

a = 5.073 Å, b = 6.422 Å, c = 5.279 Å
α = 90.00°, β = 90.00°, γ = 90.00°
Positions (direct):
Sm  0.250  0.250  0.157
Sm  0.750  0.750  0.843
Ag  0.250  0.505  0.662
Ag  0.250  0.750  0.193
Ag  0.250  0.995  0.662
Ag  0.750  0.005  0.338
Ag  0.750  0.250  0.807
Ag  0.750  0.495  0.338

=====

Stability check: which of them is most stable? entry c.

=====

Entry a
Below is SmAg3 after structural relaxation, with properties calculated at the PBE-GGA level.

## Properties
- DOS at the Fermi energy: 0.469 states/eV per atom
- Space-group type: Pmm2, No. 25

a = 3.221 Å, b = 5.012 Å, c = 5.342 Å
α = 90.00°, β = 90.00°, γ = 90.00°
Positions (direct):
Sm  0.000  0.000  0.000
Ag  0.000  0.500  0.646
Ag  0.500  0.000  0.501
Ag  0.500  0.500  0.191

=====

Entry b
Below is SmAg3 after structural relaxation, with properties calculated at the PBE-GGA level.

## Properties
- DOS at the Fermi energy: 0.961 states/eV per atom
- Space-group type: Pm-3m, No. 221

a = 4.470 Å, b = 4.470 Å, c = 4.470 Å
α = 90.00°, β = 90.00°, γ = 90.00°
Positions (direct):
Sm  0.000  0.000  0.000
Ag  0.000  0.500  0.500
Ag  0.500  0.000  0.500
Ag  0.500  0.500  0.000

=====

Stability check: which of them is most stable? entry a.

=====

Entry a
Below is Sm4Ag after structural relaxation, with properties calculated at the PBE-GGA level.

## Properties
- DOS at the Fermi energy: 1.502 states/eV per atom
- Space-group type: Ibam, No. 72

a = 8.892 Å, b = 8.892 Å, c = 8.892 Å
α = 134.62°, β = 61.14°, γ = 141.29°
Positions (direct):
Sm  0.083  0.653  0.736
Sm  0.186  0.149  0.335
Sm  0.314  0.649  0.962
Sm  0.417  0.153  0.570
Sm  0.583  0.847  0.430
Sm  0.686  0.351  0.038
Sm  0.814  0.851  0.665
Sm  0.917  0.347  0.264
Ag  0.250  0.250  0.000
Ag  0.750  0.750  0.000

=====

Entry b
Below is Sm4Ag after structural relaxation, with properties calculated at the PBE-GGA level.

## Properties
- DOS at the Fermi energy: 1.477 states/eV per atom
- Space-group type: Pm-3m, No. 221

a = 5.677 Å, b = 5.677 Å, c = 5.677 Å
α = 90.00°, β = 90.00°, γ = 90.00°
Positions (direct):
Sm  0.000  0.000  0.000
Sm  0.000  0.500  0.500
Sm  0.500  0.000  0.500
Sm  0.500  0.500  0.000
Ag  0.500  0.500  0.500

=====

Stability check: which of them is most stable? entry a.

=====

Entry a
Below is Sm4Ag3 after structural relaxation, with properties calculated at the PBE-GGA level.

## Properties
- DOS at the Fermi energy: 0.989 states/eV per atom
- Space-group type: R-3, No. 148

a = 8.409 Å, b = 8.409 Å, c = 8.409 Å
α = 113.58°, β = 113.58°, γ = 113.58°
Positions (direct):
Sm  0.000  0.000  0.000
Sm  0.077  0.777  0.629
Sm  0.223  0.371  0.923
Sm  0.371  0.923  0.223
Sm  0.500  0.500  0.500
Sm  0.629  0.077  0.777
Sm  0.777  0.629  0.077
Sm  0.923  0.223  0.371
Ag  0.130  0.540  0.262
Ag  0.262  0.130  0.540
Ag  0.460  0.738  0.870
Ag  0.540  0.262  0.130
Ag  0.738  0.870  0.460
Ag  0.870  0.460  0.738

=====

Entry b
Below is Sm4Ag3 after structural relaxation, with properties calculated at the PBE-GGA level.

## Properties
- DOS at the Fermi energy: 1.193 states/eV per atom
- Space-group type: R-3m, No. 166

a = 8.944 Å, b = 8.944 Å, c = 8.944 Å
α = 33.84°, β = 33.84°, γ = 33.84°
Positions (direct):
Sm  0.122  0.122  0.122
Sm  0.373  0.373  0.373
Sm  0.627  0.627  0.627
Sm  0.878  0.878  0.878
Ag  0.250  0.250  0.250
Ag  0.500  0.500  0.500
Ag  0.750  0.750  0.750

=====

Stability check: which of them is most stable? entry a.

=====

Entry a
Below is Sm2Ag3 after structural relaxation, with properties calculated at the PBE-GGA level.

## Properties
- DOS at the Fermi energy: 0.945 states/eV per atom
- Space-group type: I-43d, No. 220

a = 8.884 Å, b = 8.884 Å, c = 8.884 Å
α = 109.47°, β = 109.47°, γ = 109.47°
Positions (direct):
Sm  0.000  0.423  0.500
Sm  0.000  0.923  0.500
Sm  0.077  0.077  0.077
Sm  0.423  0.500  0.000
Sm  0.500  0.000  0.423
Sm  0.500  0.000  0.923
Sm  0.577  0.577  0.577
Sm  0.923  0.500  0.000
Ag  0.009  0.259  0.750
Ag  0.241  0.250  0.491
Ag  0.250  0.491  0.241
Ag  0.250  0.759  0.509
Ag  0.259  0.750  0.009
Ag  0.491  0.241  0.250
Ag  0.509  0.250  0.759
Ag  0.741  0.991  0.750
Ag  0.750  0.009  0.259
Ag  0.750  0.741  0.991
Ag  0.759  0.509  0.250
Ag  0.991  0.750  0.741

=====

Entry b
Below is Sm2Ag3 after structural relaxation, with properties calculated at the PBE-GGA level.

## Properties
- DOS at the Fermi energy: 0.843 states/eV per atom
- Space-group type: Cmcm, No. 63

a = 14.299 Å, b = 14.299 Å, c = 4.819 Å
α = 90.00°, β = 90.00°, γ = 165.62°
Positions (direct):
Sm  0.074  0.926  0.750
Sm  0.209  0.791  0.250
Sm  0.791  0.209  0.750
Sm  0.926  0.074  0.250
Ag  0.326  0.674  0.250
Ag  0.381  0.619  0.750
Ag  0.477  0.523  0.750
Ag  0.523  0.477  0.250
Ag  0.619  0.381  0.250
Ag  0.674  0.326  0.750

=====

Stability check: which of them is most stable? entry b.

=====

Entry a
Below is SrSm2Ag after structural relaxation, with properties calculated at the PBE-GGA level.

## Properties
- DOS at the Fermi energy: 1.718 states/eV per atom
- Space-group type: P4/mmm, No. 123

a = 3.770 Å, b = 3.770 Å, c = 9.653 Å
α = 90.00°, β = 90.00°, γ = 90.00°
Positions (direct):
Sr  0.000  0.000  0.000
Sm  0.500  0.500  0.318
Sm  0.500  0.500  0.682
Ag  0.000  0.000  0.500

=====

Entry b
Below is SrSm2Ag after structural relaxation, with properties calculated at the PBE-GGA level.

## Properties
- DOS at the Fermi energy: 1.531 states/eV per atom
- Space-group type: R-3m, No. 166

a = 11.952 Å, b = 11.952 Å, c = 11.952 Å
α = 17.79°, β = 17.79°, γ = 17.79°
Positions (direct):
Sr  0.000  0.000  0.000
Sm  0.102  0.102  0.102
Sm  0.898  0.898  0.898
Ag  0.500  0.500  0.500

=====

Stability check: which of them is most stable? entry a.

=====

Entry a
Below is SrSmAg4 after structural relaxation, with properties calculated at the PBE-GGA level.

## Properties
- DOS at the Fermi energy: 1.144 states/eV per atom
- Space-group type: F-43m, No. 216

a = 5.854 Å, b = 5.854 Å, c = 5.854 Å
α = 60.00°, β = 60.00°, γ = 60.00°
Positions (direct):
Sr  0.000  0.000  0.000
Sm  0.250  0.250  0.250
Ag  0.125  0.625  0.625
Ag  0.625  0.125  0.625
Ag  0.625  0.625  0.125
Ag  0.625  0.625  0.625

=====

Entry b
Below is SrSmAg4 after structural relaxation, with properties calculated at the PBE-GGA level.

## Properties
- DOS at the Fermi energy: 0.533 states/eV per atom
- Space-group type: Pmmm, No. 47

a = 3.741 Å, b = 4.868 Å, c = 8.270 Å
α = 90.00°, β = 90.00°, γ = 90.00°
Positions (direct):
Sr  0.000  0.000  0.000
Sm  0.000  0.500  0.500
Ag  0.500  0.000  0.336
Ag  0.500  0.000  0.664
Ag  0.500  0.500  0.173
Ag  0.500  0.500  0.827

=====

Stability check: which of them is most stable? entry b.

=====

Entry a
Below is TbSmAg4 after structural relaxation, with properties calculated at the PBE-GGA level.

## Properties
- DOS at the Fermi energy: 0.696 states/eV per atom
- Space-group type: P4/mmm, No. 123

a = 3.951 Å, b = 3.951 Å, c = 9.667 Å
α = 90.00°, β = 90.00°, γ = 90.00°
Positions (direct):
Tb  0.000  0.000  0.000
Sm  0.500  0.500  0.500
Ag  0.000  0.500  0.246
Ag  0.000  0.500  0.754
Ag  0.500  0.000  0.246
Ag  0.500  0.000  0.754

=====

Entry b
Below is TbSmAg4 after structural relaxation, with properties calculated at the PBE-GGA level.

## Properties
- DOS at the Fermi energy: 0.741 states/eV per atom
- Space-group type: F-43m, No. 216

a = 5.737 Å, b = 5.737 Å, c = 5.737 Å
α = 60.00°, β = 60.00°, γ = 60.00°
Positions (direct):
Tb  0.000  0.000  0.000
Sm  0.750  0.750  0.750
Ag  0.375  0.375  0.375
Ag  0.375  0.375  0.875
Ag  0.375  0.875  0.375
Ag  0.875  0.375  0.375

=====

Stability check: which of them is most stable? entry b.

=====

Entry a
Below is TbSm2Ag after structural relaxation, with properties calculated at the PBE-GGA level.

## Properties
- DOS at the Fermi energy: 1.165 states/eV per atom
- Space-group type: Cmcm, No. 63

a = 6.336 Å, b = 6.336 Å, c = 8.524 Å
α = 90.00°, β = 90.00°, γ = 135.63°
Positions (direct):
Tb  0.050  0.950  0.750
Tb  0.950  0.050  0.250
Sm  0.360  0.640  0.541
Sm  0.360  0.640  0.959
Sm  0.640  0.360  0.041
Sm  0.640  0.360  0.459
Ag  0.220  0.780  0.250
Ag  0.780  0.220  0.750

=====

Entry b
Below is TbSm2Ag after structural relaxation, with properties calculated at the PBE-GGA level.

## Properties
- DOS at the Fermi energy: 1.263 states/eV per atom
- Space-group type: R3m, No. 160

a = 10.757 Å, b = 10.757 Å, c = 10.757 Å
α = 19.44°, β = 19.44°, γ = 19.44°
Positions (direct):
Tb  0.000  0.000  0.000
Sm  0.242  0.242  0.242
Sm  0.424  0.424  0.424
Ag  0.833  0.833  0.833

=====

Stability check: which of them is most stable? entry a.

=====

Entry a
Below is TbSm2Ag after structural relaxation, with properties calculated at the PBE-GGA level.

## Properties
- DOS at the Fermi energy: 1.346 states/eV per atom
- Space-group type: I4/mmm, No. 139

a = 9.491 Å, b = 9.491 Å, c = 9.491 Å
α = 148.36°, β = 148.36°, γ = 45.35°
Positions (direct):
Tb  0.146  0.146  0.000
Tb  0.854  0.854  0.000
Sm  0.000  0.500  0.500
Sm  0.358  0.358  0.000
Sm  0.500  0.000  0.500
Sm  0.642  0.642  0.000
Ag  0.250  0.750  0.500
Ag  0.750  0.250  0.500

=====

Entry b
Below is TbSm2Ag after structural relaxation, with properties calculated at the PBE-GGA level.

## Properties
- DOS at the Fermi energy: 1.213 states/eV per atom
- Space-group type: P4/mmm, No. 123

a = 5.559 Å, b = 5.559 Å, c = 3.707 Å
α = 90.00°, β = 90.00°, γ = 90.00°
Positions (direct):
Tb  0.000  0.000  0.000
Sm  0.000  0.500  0.500
Sm  0.500  0.000  0.500
Ag  0.500  0.500  0.000

=====

Stability check: which of them is most stable? entry a.

=====

Entry a
Below is TbSm4Ag after structural relaxation, with properties calculated at the PBE-GGA level.

## Properties
- DOS at the Fermi energy: 1.317 states/eV per atom
- Space-group type: P4/mmm, No. 123

a = 3.627 Å, b = 3.627 Å, c = 14.107 Å
α = 90.00°, β = 90.00°, γ = 90.00°
Positions (direct):
Tb  0.000  0.000  0.000
Sm  0.000  0.000  0.362
Sm  0.000  0.000  0.638
Sm  0.500  0.500  0.178
Sm  0.500  0.500  0.822
Ag  0.500  0.500  0.500

=====

Entry b
Below is TbSm4Ag after structural relaxation, with properties calculated at the PBE-GGA level.

## Properties
- DOS at the Fermi energy: 1.288 states/eV per atom
- Space-group type: Cmc2_1, No. 36

a = 10.853 Å, b = 10.853 Å, c = 6.506 Å
α = 90.00°, β = 90.00°, γ = 150.49°
Positions (direct):
Tb  0.133  0.867  0.500
Tb  0.867  0.133  0.000
Sm  0.064  0.936  0.000
Sm  0.253  0.747  0.885
Sm  0.322  0.678  0.359
Sm  0.465  0.535  0.171
Sm  0.535  0.465  0.671
Sm  0.678  0.322  0.859
Sm  0.747  0.253  0.385
Sm  0.936  0.064  0.500
Ag  0.394  0.606  0.762
Ag  0.606  0.394  0.262

=====

Stability check: which of them is most stable? entry a.

=====

Entry a
Below is TbSm2Ag2 after structural relaxation, with properties calculated at the PBE-GGA level.

## Properties
- DOS at the Fermi energy: 0.877 states/eV per atom
- Space-group type: P2_1/m, No. 11

a = 3.700 Å, b = 5.316 Å, c = 13.745 Å
α = 90.00°, β = 97.71°, γ = 90.00°
Positions (direct):
Tb  0.145  0.250  0.290
Tb  0.855  0.750  0.710
Sm  0.048  0.750  0.095
Sm  0.235  0.750  0.469
Sm  0.765  0.250  0.531
Sm  0.952  0.250  0.905
Ag  0.358  0.250  0.716
Ag  0.451  0.750  0.901
Ag  0.549  0.250  0.099
Ag  0.642  0.750  0.284

=====

Entry b
Below is TbSm2Ag2 after structural relaxation, with properties calculated at the PBE-GGA level.

## Properties
- DOS at the Fermi energy: 1.039 states/eV per atom
- Space-group type: Cmc2_1, No. 36

a = 8.410 Å, b = 8.410 Å, c = 9.195 Å
α = 90.00°, β = 90.00°, γ = 154.55°
Positions (direct):
Tb  0.042  0.958  0.500
Tb  0.958  0.042  0.000
Sm  0.179  0.821  0.842
Sm  0.366  0.634  0.665
Sm  0.634  0.366  0.165
Sm  0.821  0.179  0.342
Ag  0.308  0.692  0.071
Ag  0.459  0.541  0.278
Ag  0.541  0.459  0.778
Ag  0.692  0.308  0.571

=====

Stability check: which of them is most stable? entry a.